(1)
This record from the Alexandria database describes a relaxed CsFeF4 crystal. The functional is PBE with a Hubbard U. Values from VASP.

Summary:
* ΔE to the lowest computed polymorph: 5 meV per atom
* V: 208.59 Å³ per cell
* SG: C2/c, No. 15

Structure (Quantum ESPRESSO input):
```
&SYSTEM
  ibrav = 0, nat = 12, ntyp = 3
/
ATOMIC_SPECIES
Cs 132.91 Cs.upf
Fe 55.84 Fe.upf
F 19.00 F.upf
CELL_PARAMETERS angstrom
7.267 -2.786 0.000
7.267 2.786 0.000
-2.122 0.000 5.151
ATOMIC_POSITIONS angstrom
Cs 5.676 1.402 3.864
Cs 6.737 -1.402 1.288
Fe 3.633 1.393 0.000
Fe 2.573 -1.393 2.576
F 5.393 1.358 0.734
F 2.975 0.247 1.502
F 1.914 -0.247 4.078
F 8.080 1.358 1.842
F 4.333 -1.358 3.309
F 10.498 0.247 1.074
F 9.437 -0.247 3.649
F 7.019 -1.358 4.418
```

(2)
This record from the Alexandria database describes a relaxed Cs4Fe3F10 crystal. The functional is PBE with a Hubbard U. Values from VASP.

Summary:
* V: 675.42 Å³ per cell
* total DFT energy (no corrections): -4.924 eV/atom
* SG: Cmce, No. 64

Structure (Quantum ESPRESSO input):
```
&SYSTEM
  ibrav = 0, nat = 34, ntyp = 3
/
ATOMIC_SPECIES
Cs 132.91 Cs.upf
Fe 55.84 Fe.upf
F 19.00 F.upf
CELL_PARAMETERS angstrom
3.189 -7.329 0.000
3.189 7.329 0.000
0.000 0.000 14.451
ATOMIC_POSITIONS angstrom
Cs 3.189 6.733 12.449
Cs 3.189 3.731 8.761
Cs 3.189 3.597 1.536
Cs 3.189 0.595 5.224
Cs 3.189 -0.595 9.227
Cs 3.189 -3.597 12.916
Cs 3.189 -3.731 5.690
Cs 3.189 -6.733 2.002
Fe 0.000 0.000 7.226
Fe 3.189 5.513 4.992
Fe 3.189 1.815 12.218
Fe 3.189 0.000 0.000
Fe 3.189 -1.815 2.234
Fe 3.189 -5.513 9.459
F 3.189 7.024 9.362
F 1.372 1.480 7.740
F 1.594 1.739 10.838
F 1.816 1.480 13.936
F 3.189 3.778 12.427
F 3.189 3.551 5.201
F 1.372 -1.480 6.711
F 1.594 -1.739 3.613
F 1.816 -1.480 0.515
F 3.189 0.305 2.136
F 3.189 -0.305 12.315
F 4.561 1.480 13.936
F 4.783 1.739 10.838
F 5.005 1.480 7.740
F 3.189 -3.551 9.250
F 3.189 -3.778 2.024
F 4.561 -1.480 0.515
F 4.783 -1.739 3.613
F 5.005 -1.480 6.711
F 3.189 -7.024 5.089
```

(3)
This record from the Alexandria database describes a relaxed CsFeH2F8 crystal. The functional is PBE with a Hubbard U. Values from VASP.

Summary:
* V: 183.49 Å³ per cell
* total DFT energy (no corrections): -4.180 eV/atom
* SG: P-1, No. 2

Structure (Quantum ESPRESSO input):
```
&SYSTEM
  ibrav = 0, nat = 12, ntyp = 4
/
ATOMIC_SPECIES
Cs 132.91 Cs.upf
Fe 55.84 Fe.upf
H 1.01 H.upf
F 19.00 F.upf
CELL_PARAMETERS angstrom
4.920 0.000 0.000
1.776 4.734 0.000
2.164 -0.789 7.877
ATOMIC_POSITIONS angstrom
Cs 0.000 0.000 0.000
Fe 1.082 -0.395 3.938
H 2.782 2.203 1.774
H 6.077 1.742 6.103
F 3.696 3.173 4.994
F 2.517 0.635 3.942
F 3.467 3.455 2.456
F 2.455 1.672 1.030
F 6.405 2.273 6.847
F 5.393 0.491 5.421
F 6.342 3.310 3.935
F 5.164 0.772 2.883
```

(4)
This record from the Alexandria database describes a relaxed CsHf2FeF crystal. The functional is PBE with a Hubbard U. Values from VASP.

Summary:
* V: 121.11 Å³ per cell
* total DFT energy (no corrections): -5.068 eV/atom
* SG: P4/mmm, No. 123

Structure (Quantum ESPRESSO input):
```
&SYSTEM
  ibrav = 0, nat = 5, ntyp = 4
/
ATOMIC_SPECIES
Cs 132.91 Cs.upf
Hf 178.49 Hf.upf
Fe 55.84 Fe.upf
F 19.00 F.upf
CELL_PARAMETERS angstrom
4.551 0.000 0.000
0.000 4.551 0.000
0.000 0.000 5.849
ATOMIC_POSITIONS angstrom
Cs 0.000 0.000 0.000
Hf 0.000 2.275 2.924
Hf 2.275 0.000 2.924
Fe 2.275 2.275 0.000
F 2.275 2.275 2.924
```

(5)
This record from the Alexandria database describes a relaxed CsFeHg2F8 crystal. The functional is PBE with a Hubbard U. Values from VASP.

Summary:
* V: 206.60 Å³ per cell
* total DFT energy (no corrections): -3.704 eV/atom
* SG: P-1, No. 2

Structure (Quantum ESPRESSO input):
```
&SYSTEM
  ibrav = 0, nat = 12, ntyp = 4
/
ATOMIC_SPECIES
Cs 132.91 Cs.upf
Fe 55.84 Fe.upf
Hg 200.59 Hg.upf
F 19.00 F.upf
CELL_PARAMETERS angstrom
5.269 0.000 0.000
0.922 5.500 0.000
0.161 2.347 7.130
ATOMIC_POSITIONS angstrom
Cs 0.000 0.000 0.000
Fe 0.080 1.174 3.565
Hg 3.016 2.850 1.953
Hg 3.335 4.998 5.177
F 0.771 2.083 2.055
F 2.100 4.941 3.181
F 1.576 1.702 4.546
F 2.807 3.838 6.919
F 3.544 4.009 0.211
F 4.775 6.145 2.584
F 4.252 2.906 3.948
F 5.581 5.764 5.075
```

(6)
This record from the Alexandria database describes a relaxed CsHoFeF6 crystal. The functional is PBE with a Hubbard U. Values from VASP.

Summary:
* V: 188.73 Å³ per cell
* total DFT energy (no corrections): -5.760 eV/atom
* SG: C2, No. 5

Structure (Quantum ESPRESSO input):
```
&SYSTEM
  ibrav = 0, nat = 9, ntyp = 4
/
ATOMIC_SPECIES
Cs 132.91 Cs.upf
Ho 164.93 Ho.upf
Fe 55.84 Fe.upf
F 19.00 F.upf
CELL_PARAMETERS angstrom
2.950 -4.986 0.000
2.950 4.986 0.000
-0.044 0.000 6.416
ATOMIC_POSITIONS angstrom
Cs 0.000 0.000 0.000
Ho 2.928 -1.663 3.208
Fe 2.928 1.702 3.208
F 1.794 2.993 2.022
F 1.153 1.929 4.396
F 2.256 0.063 2.049
F 4.062 2.993 4.393
F 4.703 1.929 2.019
F 3.599 0.063 4.367
```

(7)
This record from the Alexandria database describes a relaxed CsInFe2F8 crystal. The functional is PBE with a Hubbard U. Values from VASP.

Summary:
* V: 219.22 Å³ per cell
* total DFT energy (no corrections): -4.756 eV/atom
* SG: R-3, No. 148

Structure (Quantum ESPRESSO input):
```
&SYSTEM
  ibrav = 0, nat = 12, ntyp = 4
/
ATOMIC_SPECIES
Cs 132.91 Cs.upf
In 114.82 In.upf
Fe 55.84 Fe.upf
F 19.00 F.upf
CELL_PARAMETERS angstrom
2.803 1.618 8.055
-2.803 1.618 8.055
0.000 -3.237 8.055
ATOMIC_POSITIONS angstrom
Cs 0.000 0.000 0.000
In 0.000 0.000 12.082
Fe 0.000 0.000 5.879
Fe 0.000 0.000 18.286
F -1.742 -0.047 10.889
F -0.830 -1.532 13.276
F 0.000 0.000 7.775
F 0.912 -1.485 10.889
F -0.912 1.485 13.276
F 0.000 0.000 16.390
F 0.830 1.532 10.889
F 1.742 0.047 13.276
```

(8)
This record from the Alexandria database describes a relaxed CsKFeF6 crystal. The functional is PBE with a Hubbard U. Values from VASP.

Summary:
* V: 372.17 Å³ per cell
* total DFT energy (no corrections): -4.419 eV/atom
* SG: P4_2nm, No. 102

Structure (Quantum ESPRESSO input):
```
&SYSTEM
  ibrav = 0, nat = 18, ntyp = 4
/
ATOMIC_SPECIES
Cs 132.91 Cs.upf
K 39.10 K.upf
Fe 55.84 Fe.upf
F 19.00 F.upf
CELL_PARAMETERS angstrom
5.686 0.000 0.000
0.000 5.686 0.000
0.000 0.000 11.512
ATOMIC_POSITIONS angstrom
Cs 0.000 0.000 0.000
Cs 2.843 2.843 5.756
K 0.000 0.000 7.741
K 2.843 2.843 1.985
Fe 0.000 0.000 3.881
Fe 2.843 2.843 9.637
F 0.883 0.883 5.242
F 0.947 0.947 2.588
F 1.278 4.407 3.825
F 1.565 1.565 9.581
F 1.896 3.790 8.344
F 1.960 3.726 10.999
F 3.726 1.960 10.999
F 3.790 1.896 8.344
F 4.121 4.121 9.581
F 4.407 1.278 3.825
F 4.738 4.738 2.588
F 4.802 4.802 5.242
```

(9)
This record from the Alexandria database describes a relaxed Cs3KFe2F9 crystal. The functional is PBE with a Hubbard U. Values from VASP.

Summary:
* V: 271.50 Å³ per cell
* total DFT energy (no corrections): -4.768 eV/atom
* SG: P-3m1, No. 164

Structure (Quantum ESPRESSO input):
```
&SYSTEM
  ibrav = 0, nat = 15, ntyp = 4
/
ATOMIC_SPECIES
Cs 132.91 Cs.upf
K 39.10 K.upf
Fe 55.84 Fe.upf
F 19.00 F.upf
CELL_PARAMETERS angstrom
6.327 0.000 0.000
-3.164 5.480 0.000
0.000 0.000 7.831
ATOMIC_POSITIONS angstrom
Cs 0.000 0.000 0.000
Cs 0.000 3.653 5.154
Cs 3.164 1.827 2.677
K 0.000 0.000 3.915
Fe 0.000 3.653 1.169
Fe 3.164 1.827 6.662
F -1.582 2.740 0.000
F 0.000 2.026 2.296
F -1.409 4.467 2.296
F 1.755 1.013 5.534
F 3.164 0.000 0.000
F 1.582 2.740 0.000
F 1.409 4.467 2.296
F 4.573 1.013 5.534
F 3.164 3.454 5.534
```

(10)
This record from the Alexandria database describes a relaxed CsK2FeF5 crystal. The functional is PBE with a Hubbard U. Values from VASP.

Summary:
* V: 169.55 Å³ per cell
* total DFT energy (no corrections): -4.682 eV/atom
* SG: Immm, No. 71

Structure (Quantum ESPRESSO input):
```
&SYSTEM
  ibrav = 0, nat = 9, ntyp = 4
/
ATOMIC_SPECIES
Cs 132.91 Cs.upf
K 39.10 K.upf
Fe 55.84 Fe.upf
F 19.00 F.upf
CELL_PARAMETERS angstrom
-2.131 3.247 6.124
2.131 -3.247 6.124
2.131 3.247 -6.124
ATOMIC_POSITIONS angstrom
Cs 0.000 0.000 0.000
K 2.131 0.000 3.498
K 0.000 3.247 2.626
Fe 0.000 0.000 6.124
F 2.131 1.783 -1.521
F 2.131 1.783 1.521
F 0.000 3.247 0.000
F 0.000 1.464 4.603
F 0.000 1.464 7.645
```

(11)
This record from the Alexandria database describes a relaxed Cs4KLiFe2F12 crystal. The functional is PBE with a Hubbard U. Values from VASP.

Summary:
* V: 377.67 Å³ per cell
* total DFT energy (no corrections): -4.775 eV/atom
* SG: R-3m, No. 166

Structure (Quantum ESPRESSO input):
```
&SYSTEM
  ibrav = 0, nat = 20, ntyp = 5
/
ATOMIC_SPECIES
Cs 132.91 Cs.upf
K 39.10 K.upf
Li 6.94 Li.upf
Fe 55.84 Fe.upf
F 19.00 F.upf
CELL_PARAMETERS angstrom
3.224 1.861 10.490
-3.224 1.861 10.490
0.000 -3.723 10.490
ATOMIC_POSITIONS angstrom
Cs 0.000 0.000 4.194
Cs 0.000 0.000 8.969
Cs 0.000 0.000 22.500
Cs 0.000 0.000 27.275
K 0.000 0.000 0.000
Li 0.000 0.000 15.735
Fe 0.000 0.000 13.082
Fe 0.000 0.000 18.387
F -1.334 -0.770 14.347
F 0.000 -1.620 12.008
F -1.403 0.810 12.008
F -1.403 -0.810 19.462
F 0.000 -1.541 17.122
F -1.334 0.770 17.122
F 1.334 -0.770 14.347
F 0.000 1.541 14.347
F 1.403 0.810 12.008
F 1.403 -0.810 19.462
F 0.000 1.620 19.462
F 1.334 0.770 17.122
```

(12)
This record from the Alexandria database describes a relaxed Cs3LiFe2F9 crystal. The functional is PBE with a Hubbard U. Values from VASP.

Summary:
* V: 243.03 Å³ per cell
* total DFT energy (no corrections): -4.800 eV/atom
* SG: P-3m1, No. 164

Structure (Quantum ESPRESSO input):
```
&SYSTEM
  ibrav = 0, nat = 15, ntyp = 4
/
ATOMIC_SPECIES
Cs 132.91 Cs.upf
Li 6.94 Li.upf
Fe 55.84 Fe.upf
F 19.00 F.upf
CELL_PARAMETERS angstrom
6.127 0.000 0.000
-3.064 5.306 0.000
0.000 0.000 7.475
ATOMIC_POSITIONS angstrom
Cs 0.000 0.000 0.000
Cs 0.000 3.538 4.902
Cs 3.064 1.769 2.573
Li 0.000 0.000 3.737
Fe 0.000 3.538 1.236
Fe 3.064 1.769 6.239
F -1.532 2.653 0.000
F 0.000 1.869 2.350
F -1.445 4.372 2.350
F 1.619 0.935 5.124
F 3.064 0.000 0.000
F 1.532 2.653 0.000
F 1.445 4.372 2.350
F 4.508 0.935 5.124
F 3.064 3.437 5.124
```

(13)
This record from the Alexandria database describes a relaxed Cs2LiFeF6 crystal. The functional is PBE with a Hubbard U. Values from VASP.

Summary:
* V: 167.48 Å³ per cell
* total DFT energy (no corrections): -4.769 eV/atom
* SG: Fmmm, No. 69

Structure (Quantum ESPRESSO input):
```
&SYSTEM
  ibrav = 0, nat = 10, ntyp = 4
/
ATOMIC_SPECIES
Cs 132.91 Cs.upf
Li 6.94 Li.upf
Fe 55.84 Fe.upf
F 19.00 F.upf
CELL_PARAMETERS angstrom
0.000 4.153 4.875
4.136 0.000 4.875
4.136 4.153 0.000
ATOMIC_POSITIONS angstrom
Cs 2.068 2.077 2.438
Cs 6.204 6.230 7.313
Li 0.000 0.000 0.000
Fe 4.136 4.153 4.875
F 6.141 4.153 4.875
F 4.136 2.150 4.875
F 4.136 4.153 2.921
F 4.136 4.153 6.829
F 4.136 6.156 4.875
F 2.131 4.153 4.875
```

(14)
This record from the Alexandria database describes a relaxed Cs2Fe3MoF12 crystal. The functional is PBE with a Hubbard U. Values from VASP.

Summary:
* V: 313.68 Å³ per cell
* total DFT energy (no corrections): -5.286 eV/atom
* SG: R-3m, No. 166

Structure (Quantum ESPRESSO input):
```
&SYSTEM
  ibrav = 0, nat = 18, ntyp = 4
/
ATOMIC_SPECIES
Cs 132.91 Cs.upf
Fe 55.84 Fe.upf
Mo 95.94 Mo.upf
F 19.00 F.upf
CELL_PARAMETERS angstrom
3.788 2.187 6.311
-3.788 2.187 6.311
0.000 -4.374 6.311
ATOMIC_POSITIONS angstrom
Cs 0.000 0.000 2.213
Cs 0.000 0.000 16.720
Fe -1.894 -1.093 6.311
Fe -1.894 1.093 12.622
Fe 0.000 2.187 6.311
Mo 0.000 0.000 9.466
F -1.549 -0.894 8.359
F 0.000 -1.711 5.996
F -1.482 0.856 5.996
F 0.000 -1.789 10.574
F -1.482 -0.856 12.937
F -1.549 0.894 10.574
F 1.549 -0.894 8.359
F 1.482 0.856 5.996
F 0.000 1.789 8.359
F 1.482 -0.856 12.937
F 0.000 1.711 12.937
F 1.549 0.894 10.574
```

(15)
This record from the Alexandria database describes a relaxed CsFeMoF6 crystal. The functional is PBE with a Hubbard U. Values from VASP.

Summary:
* V: 329.62 Å³ per cell
* total DFT energy (no corrections): -5.405 eV/atom
* SG: Imma, No. 74

Structure (Quantum ESPRESSO input):
```
&SYSTEM
  ibrav = 0, nat = 18, ntyp = 4
/
ATOMIC_SPECIES
Cs 132.91 Cs.upf
Fe 55.84 Fe.upf
Mo 95.94 Mo.upf
F 19.00 F.upf
CELL_PARAMETERS angstrom
-3.794 3.922 5.538
3.794 -3.922 5.538
3.794 3.922 -5.538
ATOMIC_POSITIONS angstrom
Cs 0.000 1.961 1.157
Cs 3.794 1.961 4.382
Fe 1.897 1.961 -2.769
Fe 1.897 -1.961 2.769
Mo 3.794 0.000 0.000
Mo 0.000 0.000 5.538
F 3.794 -1.961 3.464
F 2.250 -0.408 1.347
F 5.337 -0.408 1.347
F 3.794 1.961 0.814
F 2.250 3.514 -1.347
F 1.544 -0.408 4.191
F 2.250 4.331 1.347
F 1.544 0.408 6.886
F 0.000 1.961 4.724
F -1.544 4.331 4.191
F 1.544 4.331 4.191
F 0.000 5.883 2.074
```

(16)
This record from the Alexandria database describes a relaxed CsNaFeF4 crystal. The functional is PBE with a Hubbard U. Values from VASP.

Summary:
* V: 272.58 Å³ per cell
* total DFT energy (no corrections): -4.732 eV/atom
* SG: P2_1/m, No. 11

Structure (Quantum ESPRESSO input):
```
&SYSTEM
  ibrav = 0, nat = 14, ntyp = 4
/
ATOMIC_SPECIES
Cs 132.91 Cs.upf
Na 22.99 Na.upf
Fe 55.84 Fe.upf
F 19.00 F.upf
CELL_PARAMETERS angstrom
5.515 0.000 0.000
0.000 6.259 0.000
-1.617 0.000 7.897
ATOMIC_POSITIONS angstrom
Cs 0.870 1.565 0.882
Cs 3.028 4.694 7.015
Na -0.050 4.694 4.047
Na 3.947 1.565 3.850
Fe 0.988 1.565 5.494
Fe 2.910 4.694 2.404
F -0.474 0.157 5.457
F -0.474 2.973 5.457
F 1.882 4.694 0.776
F 1.711 1.565 3.692
F 2.187 4.694 4.205
F 2.016 1.565 7.121
F 4.372 3.286 2.441
F 4.372 6.102 2.441
```

(17)
This record from the Alexandria database describes a relaxed CsFeOF2 crystal. The functional is PBE with a Hubbard U. Values from VASP.

Summary:
* ΔE to the lowest computed polymorph: 1779 meV per atom
* V: 119.85 Å³ per cell
* SG: P4/mmm, No. 123

Structure (Quantum ESPRESSO input):
```
&SYSTEM
  ibrav = 0, nat = 5, ntyp = 4
/
ATOMIC_SPECIES
Cs 132.91 Cs.upf
Fe 55.84 Fe.upf
O 16.00 O.upf
F 19.00 F.upf
CELL_PARAMETERS angstrom
5.198 0.000 0.000
0.000 5.198 0.000
0.000 0.000 4.435
ATOMIC_POSITIONS angstrom
Cs 0.000 0.000 0.000
Fe 2.599 2.599 2.218
O 0.000 0.000 2.218
F 0.000 2.599 0.000
F 2.599 0.000 0.000
```

(18)
This record from the Alexandria database describes a relaxed CsFeO2F crystal. The functional is PBE with a Hubbard U. Values from VASP.

Summary:
* V: 75.64 Å³ per cell
* total DFT energy (no corrections): -5.067 eV/atom
* SG: P4/mmm, No. 123

Structure (Quantum ESPRESSO input):
```
&SYSTEM
  ibrav = 0, nat = 5, ntyp = 4
/
ATOMIC_SPECIES
Cs 132.91 Cs.upf
Fe 55.84 Fe.upf
O 16.00 O.upf
F 19.00 F.upf
CELL_PARAMETERS angstrom
3.954 0.000 0.000
0.000 3.954 0.000
0.000 0.000 4.839
ATOMIC_POSITIONS angstrom
Cs 0.000 0.000 0.000
Fe 1.977 1.977 2.419
O 0.000 1.977 2.419
O 1.977 0.000 2.419
F 1.977 1.977 0.000
```

(19)
This record from the Alexandria database describes a relaxed CsFeOF2 crystal. The functional is PBE with a Hubbard U. Values from VASP.

Summary:
* ΔE to the lowest computed polymorph: 0 meV per atom
* V: 76.94 Å³ per cell
* SG: P4/mmm, No. 123

Structure (Quantum ESPRESSO input):
```
&SYSTEM
  ibrav = 0, nat = 5, ntyp = 4
/
ATOMIC_SPECIES
Cs 132.91 Cs.upf
Fe 55.84 Fe.upf
O 16.00 O.upf
F 19.00 F.upf
CELL_PARAMETERS angstrom
4.484 0.000 0.000
0.000 4.484 0.000
0.000 0.000 3.826
ATOMIC_POSITIONS angstrom
Cs 0.000 0.000 0.000
Fe 2.242 2.242 1.913
O 2.242 2.242 0.000
F 0.000 2.242 1.913
F 2.242 0.000 1.913
```